Compound: Ba2ZnCl
Source: Alexandria via LeMat-Bulk
Functional: PBE-GGA
Structure: optimized geometry

The structure belongs to space group Cm (No. 8); the cell edges are 16.5590, 4.2995 and 4.4611 Å and the angles 90.00°, 90.35° and 90.00°. The distinct sites, in fractional coordinates, are Ba at (0.0000, 0.0000, 0.0000), Ba at (0.2491, 0.0000, 0.4963), Zn at (0.1675, 0.5000, 0.9955) and Cl at (0.4410, 0.0000, 0.4986).

The raw formation energy is -907 meV/atom. As for the energy above the most stable polymorph in this dataset: 37 meV per atom.



Compound: Ba2ZnCl
Source: Alexandria via LeMat-Bulk
Functional: PBE-GGA
Structure: optimized geometry

The structure belongs to space group I-42d (No. 122); the cell edges are 8.4237, 8.4237 and 9.6875 Å and the angles 90.00°, 90.00° and 90.00°. The distinct sites, in fractional coordinates, are Ba at (0.2373, 0.2500, 0.1250), Zn at (0.0000, 0.0000, 0.5000) and Cl at (0.0000, 0.0000, 0.0000).

The raw formation energy is -813 meV/atom. As for the energy above the most stable polymorph in this dataset: 131 meV per atom.



Compound: BaZnCl2
Source: Alexandria via LeMat-Bulk
Functional: PBE-GGA
Structure: optimized geometry

The structure belongs to space group C2/m (No. 12); the cell edges are 8.3458, 4.8201 and 9.4073 Å and the angles 90.00°, 107.13° and 90.00°. The distinct sites, in fractional coordinates, are Ba at (0.0000, 0.0000, 0.0000), Zn at (0.0000, 0.5000, 0.5000) and Cl at (0.2179, 0.5000, 0.1543).

The raw formation energy is -1574 meV/atom. As for the energy above the most stable polymorph in this dataset: 0 meV per atom.



Compound: BaZn2Cl6
Source: Alexandria via LeMat-Bulk
Functional: PBE-GGA
Structure: optimized geometry

The structure belongs to space group C2/m (No. 12); the cell edges are 14.2555, 5.5252 and 7.9782 Å and the angles 90.00°, 108.56° and 90.00°. The distinct sites, in fractional coordinates, are Ba at (0.0000, 0.0000, 0.0000), Zn at (0.2378, 0.0000, 0.6530), Cl at (0.0946, 0.0000, 0.7078), Cl at (0.1203, 0.5000, 0.1148) and Cl at (0.2342, 0.0000, 0.3648).

The raw formation energy is -1552 meV/atom.



Compound: BaZnCl2
Source: Alexandria via LeMat-Bulk
Functional: PBE-GGA
Structure: optimized geometry

The structure belongs to space group Amm2 (No. 38); the cell edges are 4.7800, 4.5371 and 11.1963 Å and the angles 90.00°, 90.00° and 90.00°. The distinct sites, in fractional coordinates, are Ba at (0.0000, 0.0000, 0.0000), Zn at (0.5000, 0.0000, 0.7961), Cl at (0.0000, 0.0000, 0.2879) and Cl at (0.5000, 0.0000, 0.5581).

The raw formation energy is -1503 meV/atom. As for the energy above the most stable polymorph in this dataset: 71 meV per atom.



Compound: Ba2ZnCl
Source: Alexandria via LeMat-Bulk
Functional: PBE-GGA
Structure: optimized geometry

The structure belongs to space group Immm (No. 71); the cell edges are 4.9626, 6.9233 and 8.8647 Å and the angles 90.00°, 90.00° and 90.00°. The distinct sites, in fractional coordinates, are Ba at (0.0000, 0.0000, 0.2303), Zn at (0.0000, 0.5000, 0.0000) and Cl at (0.0000, 0.5000, 0.5000).

The raw formation energy is -757 meV/atom. As for the energy above the most stable polymorph in this dataset: 187 meV per atom.



Compound: Ba2ZnCl
Source: Alexandria via LeMat-Bulk
Functional: PBE-GGA
Structure: optimized geometry

The structure belongs to space group P2/m (No. 10); the cell edges are 4.1981, 4.1036 and 8.9750 Å and the angles 90.00°, 90.17° and 90.00°. The distinct sites, in fractional coordinates, are Ba at (0.0008, 0.0000, 0.2239), Zn at (0.5000, 0.5000, 0.0000) and Cl at (0.0000, 0.5000, 0.5000).

The raw formation energy is -927 meV/atom. As for the energy above the most stable polymorph in this dataset: 17 meV per atom.



Compound: BaZnCl4
Source: Alexandria via LeMat-Bulk
Functional: PBE-GGA
Structure: optimized geometry

The structure belongs to space group P2_1/m (No. 11); the cell edges are 6.2892, 9.8265 and 6.2959 Å and the angles 90.00°, 99.29° and 90.00°. The distinct sites, in fractional coordinates, are Ba at (0.1222, 0.2500, 0.1259), Zn at (0.3790, 0.7500, 0.3742), Cl at (0.2038, 0.5669, 0.1979), Cl at (0.2623, 0.2500, 0.6458) and Cl at (0.3571, 0.7500, 0.7319).

The raw formation energy is -1845 meV/atom.



Compound: Ba2Zn2Cl
Source: Alexandria via LeMat-Bulk
Functional: PBE-GGA
Structure: optimized geometry

The structure belongs to space group I4/mmm (No. 139); the cell edges are 4.0318, 4.0318 and 19.3190 Å and the angles 90.00°, 90.00° and 90.00°. The distinct sites, in fractional coordinates, are Ba at (0.0000, 0.0000, 0.1092), Zn at (0.0000, 0.5000, 0.2500) and Cl at (0.0000, 0.0000, 0.5000).

The raw formation energy is -625 meV/atom. As for the energy above the most stable polymorph in this dataset: 271 meV per atom.



Compound: BaZnCl4
Source: Alexandria via LeMat-Bulk
Functional: PBE-GGA
Structure: optimized geometry

The structure belongs to space group Pnna (No. 52); the cell edges are 7.3160, 10.1189 and 9.7481 Å and the angles 90.00°, 90.00° and 90.00°. The distinct sites, in fractional coordinates, are Ba at (0.1817, 0.2500, 0.2500), Zn at (0.2500, 0.0000, 0.6734), Cl at (0.0056, 0.5345, 0.3069) and Cl at (0.1654, 0.6836, 0.9483).

The raw formation energy is -1856 meV/atom.



Compound: BaZnCl2
Source: Alexandria via LeMat-Bulk
Functional: PBE-GGA
Structure: optimized geometry

The structure belongs to space group R-3m (No. 166, hexagonal axes); the cell edges are 4.7479, 4.7479 and 30.2458 Å and the angles 90.00°, 90.00° and 120.00°. The distinct sites, in fractional coordinates, are Ba at (0.0000, 0.0000, 0.0000), Zn at (0.0000, 0.0000, 0.5000) and Cl at (0.0000, 0.0000, 0.3802).

The raw formation energy is -1566 meV/atom. As for the energy above the most stable polymorph in this dataset: 8 meV per atom.



Compound: BaZn4Cl
Source: Alexandria via LeMat-Bulk
Functional: PBE-GGA
Structure: optimized geometry

The structure belongs to space group F-43m (No. 216); the cell edges are 8.3330, 8.3330 and 8.3330 Å and the angles 90.00°, 90.00° and 90.00°. The distinct sites, in fractional coordinates, are Ba at (0.0000, 0.0000, 0.0000), Zn at (0.1220, 0.1220, 0.3780) and Cl at (0.2500, 0.2500, 0.7500).

The raw formation energy is -251 meV/atom.



Compound: Ba2ZnCl
Source: Alexandria via LeMat-Bulk
Functional: PBE-GGA
Structure: optimized geometry

The structure belongs to space group C2/m (No. 12); the cell edges are 8.3764, 8.3785 and 3.8344 Å and the angles 90.00°, 90.39° and 90.00°. The distinct sites, in fractional coordinates, are Ba at (0.2500, 0.2500, 0.0000), Zn at (0.0000, 0.0000, 0.5000) and Cl at (0.0000, 0.5000, 0.5000).

The raw formation energy is -839 meV/atom. As for the energy above the most stable polymorph in this dataset: 105 meV per atom.



Compound: Ba2ZnCl
Source: Alexandria via LeMat-Bulk
Functional: PBE-GGA
Structure: optimized geometry

The structure belongs to space group R3m (No. 160, hexagonal axes); the cell edges are 4.5491, 4.5491 and 26.0333 Å and the angles 90.00°, 90.00° and 120.00°. The distinct sites, in fractional coordinates, are Ba at (0.0000, 0.0000, 0.0000), Ba at (0.0000, 0.0000, 0.1729), Zn at (0.0000, 0.0000, 0.5870) and Cl at (0.0000, 0.0000, 0.4177).

The raw formation energy is -906 meV/atom. As for the energy above the most stable polymorph in this dataset: 38 meV per atom.



Compound: Ba4ZnCl
Source: Alexandria via LeMat-Bulk
Functional: PBE-GGA
Structure: optimized geometry

The structure belongs to space group F-43m (No. 216); the cell edges are 10.7246, 10.7246 and 10.7246 Å and the angles 90.00°, 90.00° and 90.00°. The distinct sites, in fractional coordinates, are Ba at (0.1253, 0.1253, 0.1253), Zn at (0.0000, 0.0000, 0.5000) and Cl at (0.2500, 0.2500, 0.7500).

The raw formation energy is 171 meV/atom.



Compound: BaZnCl4
Source: Alexandria via LeMat-Bulk
Functional: PBE-GGA
Structure: optimized geometry

The structure belongs to space group Pbcn (No. 60); the cell edges are 6.5648, 15.6075 and 6.9578 Å and the angles 90.00°, 90.00° and 90.00°. The distinct sites, in fractional coordinates, are Ba at (0.0000, 0.1286, 0.2500), Zn at (0.0000, 0.3892, 0.2500), Cl at (0.1493, 0.2989, 0.0284) and Cl at (0.2460, 0.0380, 0.9065).

The raw formation energy is -1849 meV/atom.



Compound: BaZnCl2
Source: Alexandria via LeMat-Bulk
Functional: PBE-GGA
Structure: optimized geometry

The structure belongs to space group I-42d (No. 122); the cell edges are 6.7607, 6.7607 and 17.0213 Å and the angles 90.00°, 90.00° and 90.00°. The distinct sites, in fractional coordinates, are Ba at (0.0000, 0.0000, 0.0000), Zn at (0.0000, 0.0000, 0.5000) and Cl at (0.1752, 0.2500, 0.1250).

The raw formation energy is -1415 meV/atom. As for the energy above the most stable polymorph in this dataset: 159 meV per atom.



Compound: Ba2ZnCl
Source: Alexandria via LeMat-Bulk
Functional: PBE-GGA
Structure: optimized geometry

The structure belongs to space group R3m (No. 160, hexagonal axes); the cell edges are 4.4511, 4.4511 and 26.5678 Å and the angles 90.00°, 90.00° and 120.00°. The distinct sites, in fractional coordinates, are Ba at (0.0000, 0.0000, 0.0000), Ba at (0.0000, 0.0000, 0.1676), Zn at (0.0000, 0.0000, 0.4159) and Cl at (0.0000, 0.0000, 0.5855).

The raw formation energy is -909 meV/atom. As for the energy above the most stable polymorph in this dataset: 35 meV per atom.



Compound: BaZnCl2
Source: Alexandria via LeMat-Bulk
Functional: PBE-GGA
Structure: optimized geometry

The structure belongs to space group P2/m (No. 10); the cell edges are 3.9599, 3.9590 and 9.1579 Å and the angles 90.00°, 90.08° and 90.00°. The distinct sites, in fractional coordinates, are Ba at (0.0000, 0.0000, 0.0000), Zn at (0.0000, 0.0000, 0.5000) and Cl at (0.4991, 0.5000, 0.8219).

The raw formation energy is -1468 meV/atom. As for the energy above the most stable polymorph in this dataset: 106 meV per atom.



Compound: BaZnCl2
Source: Alexandria via LeMat-Bulk
Functional: PBE-GGA
Structure: optimized geometry

The structure belongs to space group Immm (No. 71); the cell edges are 5.4281, 5.4443 and 7.6913 Å and the angles 90.00°, 90.00° and 90.00°. The distinct sites, in fractional coordinates, are Ba at (0.0000, 0.0000, 0.0000), Zn at (0.0000, 0.0000, 0.5000) and Cl at (0.0000, 0.5000, 0.2501).

The raw formation energy is -1549 meV/atom. As for the energy above the most stable polymorph in this dataset: 25 meV per atom.



Compound: Ba2ZnCl
Source: Alexandria via LeMat-Bulk
Functional: PBE-GGA
Structure: optimized geometry

The structure belongs to space group F-43m (No. 216); the cell edges are 8.1763, 8.1763 and 8.1763 Å and the angles 90.00°, 90.00° and 90.00°. The distinct sites, in fractional coordinates, are Ba at (0.0000, 0.0000, 0.0000), Ba at (0.2500, 0.2500, 0.2500), Zn at (0.2500, 0.2500, 0.7500) and Cl at (0.0000, 0.0000, 0.5000).

The raw formation energy is -266 meV/atom. As for the energy above the most stable polymorph in this dataset: 679 meV per atom.



Compound: BaZnCl2
Source: Alexandria via LeMat-Bulk
Functional: PBE-GGA
Structure: optimized geometry

The structure belongs to space group F-43m (No. 216); the cell edges are 7.6845, 7.6845 and 7.6845 Å and the angles 90.00°, 90.00° and 90.00°. The distinct sites, in fractional coordinates, are Ba at (0.0000, 0.0000, 0.0000), Zn at (0.2500, 0.2500, 0.2500), Cl at (0.0000, 0.0000, 0.5000) and Cl at (0.2500, 0.2500, 0.7500).

The raw formation energy is -1286 meV/atom. As for the energy above the most stable polymorph in this dataset: 288 meV per atom.



Compound: BaZnCl2
Source: Alexandria via LeMat-Bulk
Functional: PBE-GGA
Structure: optimized geometry

The structure belongs to space group P4mm (No. 99); the cell edges are 4.4230, 4.4230 and 6.2029 Å and the angles 90.00°, 90.00° and 90.00°. The distinct sites, in fractional coordinates, are Ba at (0.0000, 0.0000, 0.0000), Zn at (0.5000, 0.5000, 0.6269), Cl at (0.0000, 0.0000, 0.4978) and Cl at (0.5000, 0.5000, 0.1697).

The raw formation energy is -1400 meV/atom. As for the energy above the most stable polymorph in this dataset: 174 meV per atom.



Compound: Ba2Zn2Cl
Source: Alexandria via LeMat-Bulk
Functional: PBE-GGA
Structure: optimized geometry

The structure belongs to space group R-3m (No. 166, hexagonal axes); the cell edges are 4.6111, 4.6111 and 26.3224 Å and the angles 90.00°, 90.00° and 120.00°. The distinct sites, in fractional coordinates, are Ba at (0.0000, 0.0000, 0.0839), Zn at (0.0000, 0.0000, 0.3330) and Cl at (0.0000, 0.0000, 0.5000).

The raw formation energy is -896 meV/atom. As for the energy above the most stable polymorph in this dataset: 0 meV per atom.



Compound: Ba2ZnCl
Source: Alexandria via LeMat-Bulk
Functional: PBE-GGA
Structure: optimized geometry

The structure belongs to space group Fm-3m (No. 225); the cell edges are 8.2705, 8.2705 and 8.2705 Å and the angles 90.00°, 90.00° and 90.00°. The distinct sites, in fractional coordinates, are Ba at (0.2500, 0.2500, 0.2500), Zn at (0.0000, 0.0000, 0.0000) and Cl at (0.0000, 0.0000, 0.5000).

The raw formation energy is -728 meV/atom. As for the energy above the most stable polymorph in this dataset: 217 meV per atom.



Compound: BaZnCl4
Source: Alexandria via LeMat-Bulk
Functional: PBE-GGA
Structure: optimized geometry

The structure belongs to space group F-43m (No. 216); the cell edges are 8.7125, 8.7125 and 8.7125 Å and the angles 90.00°, 90.00° and 90.00°. The distinct sites, in fractional coordinates, are Ba at (0.0000, 0.0000, 0.0000), Zn at (0.2500, 0.2500, 0.2500) and Cl at (0.1248, 0.1248, 0.6248).

The raw formation energy is -651 meV/atom.